La4PrSm | PBE-GGA | relaxed

Cell: 3.616 7.614 9.564 Å, 107.90 89.88 118.70°
Positions (direct):
La (0.791, 0.087, 0.172)
La (0.880, 0.585, 0.172)
La (0.120, 0.415, 0.828)
La (0.209, 0.913, 0.828)
Pr (0.000, 0.000, 0.500)
Sm (0.500, 0.500, 0.500)

- Total magnetization: 0.00 μB/atom
- Calculated formation energy: 138.5 meV/atom
- Uncorrected energy: -4.73 eV per atom
- Volume: 36.07 Å³ per atom

La12PrSm3 | PBE-GGA | relaxed

Cell: 5.240 5.240 20.965 Å, 90.00 90.00 90.00°
Positions (direct):
La (0.500, 0.500, 0.000)
La (0.500, 0.500, 0.251)
La (0.500, 0.500, 0.500)
La (0.500, 0.500, 0.749)
La (0.500, 0.000, 0.126)
La (0.500, 0.000, 0.375)
La (0.500, 0.000, 0.625)
La (0.500, 0.000, 0.874)
La (0.000, 0.500, 0.126)
La (0.000, 0.500, 0.375)
La (0.000, 0.500, 0.625)
La (0.000, 0.500, 0.874)
Pr (0.000, 0.000, 0.000)
Sm (0.000, 0.000, 0.251)
Sm (0.000, 0.000, 0.500)
Sm (0.000, 0.000, 0.749)

- Total magnetization: 0.00 μB/atom
- Calculated formation energy: 6.8 meV/atom
- Uncorrected energy: -4.87 eV per atom
- Volume: 35.98 Å³ per atom

La6Pr3Sm | PBE-GGA | relaxed

Cell: 7.370 12.754 6.772 Å, 127.15 122.97 90.00°
Positions (direct):
La (0.275, 0.304, 0.106)
La (0.168, 0.696, 0.894)
La (0.725, 0.696, 0.894)
La (0.832, 0.304, 0.106)
La (0.332, 0.990, 0.664)
La (0.668, 0.010, 0.336)
Pr (0.800, 0.348, 0.601)
Pr (0.200, 0.652, 0.399)
Pr (0.000, 0.000, 0.000)
Sm (0.500, 0.500, 0.000)

- Total magnetization: 0.00 μB/atom
- Calculated formation energy: 218.1 meV/atom
- Uncorrected energy: -4.64 eV per atom
- Volume: 37.07 Å³ per atom

LaPr5Sm12 | PBE-GGA | relaxed

Cell: 11.698 10.599 6.092 Å, 90.06 90.11 56.51°
Positions (direct):
La (0.000, 0.000, 0.000)
Pr (0.500, 0.000, 0.500)
Pr (0.166, 0.667, 0.500)
Pr (0.834, 0.333, 0.500)
Pr (0.668, 0.665, 0.000)
Pr (0.332, 0.335, 0.000)
Sm (0.820, 0.000, 0.447)
Sm (0.180, 0.000, 0.553)
Sm (0.677, 0.000, 0.947)
Sm (0.323, 0.000, 0.053)
Sm (0.346, 0.666, 0.946)
Sm (0.988, 0.666, 0.054)
Sm (0.012, 0.334, 0.946)
Sm (0.654, 0.334, 0.054)
Sm (0.511, 0.334, 0.554)
Sm (0.845, 0.666, 0.554)
Sm (0.155, 0.334, 0.446)
Sm (0.489, 0.666, 0.446)

- Total magnetization: 0.00 μB/atom
- Calculated formation energy: 92.7 meV/atom
- Uncorrected energy: -4.65 eV per atom
- Volume: 34.99 Å³ per atom

La12PrSm7 | PBE-GGA | relaxed

Cell: 6.426 11.606 11.606 Å, 116.67 100.64 100.64°
Positions (direct):
La (0.092, 0.592, 0.185)
La (0.092, 0.185, 0.593)
La (0.570, 0.643, 0.000)
La (0.431, 0.000, 0.357)
La (0.500, 0.407, 0.592)
La (0.074, 0.643, 0.643)
La (0.926, 0.357, 0.357)
La (0.500, 0.593, 0.408)
La (0.569, 0.000, 0.643)
La (0.430, 0.357, 0.000)
La (0.908, 0.815, 0.407)
La (0.908, 0.408, 0.815)
Pr (0.000, 0.000, 0.000)
Sm (0.118, 0.748, 0.000)
Sm (0.882, 0.000, 0.253)
Sm (0.630, 0.747, 0.748)
Sm (0.500, 0.000, 0.000)
Sm (0.370, 0.253, 0.252)
Sm (0.118, 0.000, 0.747)
Sm (0.882, 0.252, 0.000)

- Total magnetization: 0.00 μB/atom
- Calculated formation energy: 191.0 meV/atom
- Uncorrected energy: -4.66 eV per atom
- Volume: 36.20 Å³ per atom

La4Pr3Sm2 | PBE-GGA | relaxed

Cell: 6.427 6.418 13.324 Å, 118.47 103.86 120.16°
Positions (direct):
La (0.664, 0.332, 0.999)
La (0.336, 0.668, 0.001)
La (0.889, 0.778, 0.666)
La (0.111, 0.222, 0.334)
Pr (0.556, 0.112, 0.666)
Pr (0.000, 0.000, 0.000)
Pr (0.444, 0.888, 0.334)
Sm (0.780, 0.558, 0.335)
Sm (0.220, 0.442, 0.665)

- Total magnetization: 0.00 μB/atom
- Calculated formation energy: 15.4 meV/atom
- Uncorrected energy: -4.82 eV per atom
- Volume: 36.04 Å³ per atom

La2Pr2Sm5 | PBE-GGA | relaxed

Cell: 12.184 6.885 10.341 Å, 109.45 126.10 90.00°
Positions (direct):
La (0.130, 0.686, 0.252)
La (0.870, 0.435, 0.748)
La (0.622, 0.186, 0.252)
La (0.378, 0.935, 0.748)
Pr (0.000, 0.024, 0.000)
Pr (0.500, 0.524, 0.000)
Pr (0.254, 0.343, 0.500)
Pr (0.746, 0.843, 0.500)
Sm (0.200, 0.652, 0.893)
Sm (0.800, 0.759, 0.107)
Sm (0.193, 0.152, 0.893)
Sm (0.807, 0.259, 0.107)
Sm (0.374, 0.030, 0.286)
Sm (0.626, 0.744, 0.714)
Sm (0.412, 0.530, 0.286)
Sm (0.588, 0.244, 0.714)
Sm (0.015, 0.664, 0.500)
Sm (0.985, 0.164, 0.500)

- Total magnetization: 0.00 μB/atom
- Calculated formation energy: 173.2 meV/atom
- Uncorrected energy: -4.61 eV per atom
- Volume: 35.48 Å³ per atom

La2PrSm2 | PBE-GGA | relaxed

Cell: 6.429 6.429 9.719 Å, 111.19 101.38 98.93°
Positions (direct):
La (0.443, 0.366, 0.149)
La (0.218, 0.794, 0.351)
La (0.557, 0.634, 0.851)
La (0.782, 0.206, 0.649)
Pr (0.719, 0.969, 0.250)
Pr (0.281, 0.031, 0.750)
Sm (0.893, 0.251, 0.024)
Sm (0.227, 0.369, 0.476)
Sm (0.107, 0.749, 0.976)
Sm (0.773, 0.631, 0.524)

- Total magnetization: 0.00 μB/atom
- Calculated formation energy: 105.0 meV/atom
- Uncorrected energy: -4.71 eV per atom
- Volume: 35.57 Å³ per atom